[1]
Entry from Alexandria: a crystal of Cu7Pt5 relaxed with PBEsol (SCAN).

Cell and atoms, written as POSCAR:
```
Cu7Pt5
1.0
-3.4358 -2.4769 1.6861
-0.1222 -0.2747 -4.5489
6.5075 -5.0071 1.6899
Cu Pt
7 5
Direct
0.4937 0.9937 0.9874
0.9145 0.9145 0.8290
0.3378 0.8378 0.6756
0.7569 0.7569 0.5139
0.9937 0.4937 0.9874
0.4159 0.4159 0.8317
0.8378 0.3378 0.6756
0.1701 0.6701 0.3403
0.5742 0.5742 0.1483
0.2593 0.2593 0.5186
0.6701 0.1701 0.3403
0.0760 0.0760 0.1520
```

magnetization = 0.000 μB/atom
N(E_F) = 7.1 states/eV per cell
symmetry = Fmm2
relative energy among the computed polymorphs = 6.93 kJ per mole of atoms

[2]
Entry from Alexandria: a crystal of Cu4Pt3 relaxed with PBEsol (SCAN).

Cell and atoms, written as POSCAR:
```
Cu4Pt3
1.0
4.5788 -0.0023 -0.0028
-0.7419 4.5183 -0.0028
-0.7419 -0.8732 4.4331
Cu Pt
4 3
Direct
0.0035 0.0035 0.0035
0.5661 0.1440 0.2856
0.1440 0.2856 0.5661
0.2856 0.5661 0.1440
0.7204 0.4226 0.8578
0.8578 0.7204 0.4226
0.4226 0.8578 0.7204
```

magnetization = 0.000 μB/atom
N(E_F) = 4.9 states/eV per cell
symmetry = R3
relative energy among the computed polymorphs = 0.00 kJ per mole of atoms